No. 1
{"formula": "CuAgF3", "functional": "PBE-GGA", "state": "relaxed", "cell": [[3.150, -1.819, 0.000], [0.000, 3.638, 0.000], [0.000, 0.000, 12.716]], "species": ["F", "F", "F", "F", "F", "F", "Cu", "Cu", "Ag", "Ag"], "fractional_positions": [[0.000, 0.000, 0.750], [0.000, 0.000, 0.250], [0.667, 0.333, 0.399], [0.333, 0.667, 0.601], [0.667, 0.333, 0.101], [0.333, 0.667, 0.899], [0.667, 0.333, 0.250], [0.333, 0.667, 0.750], [0.000, 0.000, 0.000], [0.000, 0.000, 0.500]], "formation_energy_uncorrected_ev_per_atom": -1.29, "sg": "No. 194", "de_polymorph_ev_per_atom": 0.022}


No. 2
{"formula": "ThGe2Ir3", "functional": "PBE-GGA", "state": "relaxed", "cell": [[4.089, 0.000, 0.000], [-2.044, 7.899, -2.537], [0.000, 0.040, 9.960]], "species": ["Th", "Th", "Th", "Ir", "Ir", "Ir", "Ir", "Ir", "Ir", "Ir", "Ir", "Ir", "Ge", "Ge", "Ge", "Ge", "Ge", "Ge"], "fractional_positions": [[0.160, 0.321, 0.702], [0.000, 0.000, 0.000], [0.840, 0.679, 0.298], [0.220, 0.440, 0.391], [0.780, 0.560, 0.609], [0.622, 0.244, 0.198], [0.378, 0.756, 0.802], [0.324, 0.648, 0.047], [0.500, 0.000, 0.500], [0.676, 0.352, 0.953], [0.955, 0.910, 0.670], [0.045, 0.090, 0.330], [0.363, 0.725, 0.548], [0.536, 0.071, 0.774], [0.637, 0.275, 0.452], [0.804, 0.608, 0.874], [0.464, 0.929, 0.226], [0.196, 0.392, 0.126]], "ef_ev_per_atom": -0.6818, "sg": "No. 12"}


No. 3
{"formula": "TmTh2V", "functional": "PBE-GGA", "state": "relaxed", "cell": [[3.382, 0.000, 0.000], [1.691, 2.929, 0.000], [1.691, 0.976, 11.396]], "species": ["Tm", "V", "Th", "Th"], "fractional_positions": [[0.500, 0.500, 0.500], [0.000, 0.000, 0.000], [0.079, 0.079, 0.763], [0.921, 0.921, 0.237]], "ef_ev_per_atom": 0.6140, "sg": "No. 166"}


No. 4
{"formula": "Sm6Cd2Cu", "functional": "PBE-GGA", "state": "relaxed", "cell": [[-5.756, -1.424, 2.399], [-1.619, -5.780, -7.317], [1.945, -7.067, 5.152]], "species": ["Sm", "Sm", "Sm", "Sm", "Sm", "Sm", "Sm", "Sm", "Sm", "Sm", "Sm", "Sm", "Cd", "Cd", "Cd", "Cd", "Cu", "Cu"], "fractional_positions": [[0.106, 0.309, 0.051], [0.108, 0.325, 0.476], [0.392, 0.825, 0.024], [0.894, 0.691, 0.949], [0.618, 0.467, 0.287], [0.394, 0.809, 0.449], [0.606, 0.191, 0.551], [0.882, 0.967, 0.213], [0.892, 0.675, 0.524], [0.608, 0.175, 0.976], [0.382, 0.533, 0.713], [0.118, 0.033, 0.787], [0.857, 0.407, 0.782], [0.357, 0.093, 0.282], [0.143, 0.593, 0.218], [0.643, 0.907, 0.718], [0.000, 0.000, 0.500], [0.500, 0.500, 0.000]], "ef_ev_per_atom": -0.0678, "sg": "No. 14"}


No. 5
{"formula": "TiTe2PtN", "functional": "PBE-GGA", "state": "relaxed", "cell": [[5.419, 0.000, 0.000], [0.000, 5.419, 0.000], [0.000, 0.000, 3.641]], "species": ["N", "Ti", "Pt", "Te", "Te"], "fractional_positions": [[0.000, 0.000, 0.500], [0.000, 0.000, 0.000], [0.500, 0.500, 0.500], [0.000, 0.500, 0.000], [0.500, 0.000, 0.000]], "formation_energy_uncorrected_ev_per_atom": 0.24, "sg": "No. 123", "de_polymorph_ev_per_atom": 0.000}


No. 6
{"formula": "Ac4TbCd3", "functional": "PBE-GGA", "state": "relaxed", "cell": [[4.005, 0.000, 0.000], [0.000, 5.882, 0.000], [0.000, 0.000, 11.845]], "species": ["Tb", "Ac", "Ac", "Ac", "Ac", "Cd", "Cd", "Cd"], "fractional_positions": [[0.500, 0.500, 0.000], [0.000, 0.000, 0.500], [0.000, 0.500, 0.741], [0.000, 0.500, 0.259], [0.000, 0.000, 0.000], [0.500, 0.000, 0.756], [0.500, 0.000, 0.244], [0.500, 0.500, 0.500]], "ef_ev_per_atom": -0.1790, "sg": "No. 47"}


No. 7
{"formula": "YIF2", "functional": "PBE-GGA", "state": "relaxed", "cell": [[-3.632, 3.247, 2.076], [1.959, -0.902, 4.837], [3.434, 6.430, 2.707]], "species": ["Y", "Y", "F", "F", "F", "F", "I", "I"], "fractional_positions": [[0.250, 0.750, 0.500], [0.500, 0.500, 0.000], [0.375, 0.625, 0.250], [0.375, 0.625, 0.750], [0.375, 0.125, 0.250], [0.875, 0.625, 0.750], [0.000, 0.000, 0.000], [0.750, 0.250, 0.500]], "formation_energy_uncorrected_ev_per_atom": -2.95, "sg": "No. 141", "de_polymorph_ev_per_atom": 0.138}


No. 8
{"formula": "SmAlZn2Ni2", "functional": "PBE-GGA", "state": "relaxed", "cell": [[-3.011, -2.779, -1.478], [2.151, -0.323, -3.774], [2.993, -4.348, 2.078]], "species": ["Ni", "Ni", "Sm", "Al", "Zn", "Zn"], "fractional_positions": [[0.000, 0.500, 0.000], [0.500, 0.000, 0.000], [0.000, 0.000, 0.500], [0.000, 0.000, 0.000], [0.500, 0.500, 0.252], [0.500, 0.500, 0.748]], "ef_ev_per_atom": -0.1089, "sg": "No. 123"}


No. 9
{"formula": "ZrGaSb2", "functional": "PBE-GGA", "state": "relaxed", "cell": [[6.568, 0.000, 0.000], [0.000, 6.568, 0.000], [3.284, 3.284, 6.224]], "species": ["Zr", "Zr", "Sb", "Sb", "Sb", "Sb", "Ga", "Ga"], "fractional_positions": [[0.750, 0.250, 0.500], [0.000, 0.000, 0.000], [0.613, 0.125, 0.250], [0.375, 0.387, 0.750], [0.875, 0.863, 0.750], [0.137, 0.625, 0.250], [0.500, 0.500, 0.000], [0.250, 0.750, 0.500]], "formation_energy_uncorrected_ev_per_atom": 0.03, "sg": "No. 122"}


No. 10
{"formula": "RhW2Se", "functional": "PBE-GGA", "state": "relaxed", "cell": [[-0.168, -2.895, 2.948], [2.836, 0.238, 0.395], [0.709, 3.876, 3.847]], "species": ["Rh", "W", "W", "Se"], "fractional_positions": [[0.500, 0.250, 0.250], [0.000, 0.574, 0.503], [0.000, 0.926, 0.997], [0.500, 0.750, 0.750]], "formation_energy_uncorrected_ev_per_atom": 0.36, "sg": "No. 10"}


No. 11
{"formula": "Pu2FeC", "functional": "PBE-GGA", "state": "relaxed", "cell": [[-0.354, -1.088, -3.617], [-0.645, -3.645, -0.830], [-6.195, -0.604, -1.201]], "species": ["Pu", "Pu", "Fe", "C"], "fractional_positions": [[0.130, 0.130, 0.609], [0.870, 0.870, 0.391], [0.000, 0.000, 0.000], [0.500, 0.500, 0.500]], "ef_ev_per_atom": 1.1508, "sg": "No. 166"}


No. 12
{"formula": "Rb2ZrZnO4", "functional": "PBE-GGA", "state": "relaxed", "cell": [[6.011, -0.239, -0.365], [-2.777, 5.336, 0.365], [-2.777, -1.813, 5.032]], "species": ["Rb", "Rb", "O", "O", "O", "O", "Zn", "Zr"], "fractional_positions": [[0.000, 0.000, 0.000], [0.500, 0.750, 0.250], [0.620, 0.367, 0.496], [0.380, 0.875, 0.747], [0.129, 0.253, 0.633], [0.871, 0.504, 0.125], [0.000, 0.500, 0.500], [0.500, 0.250, 0.750]], "formation_energy_uncorrected_ev_per_atom": -2.12, "sg": "No. 82"}


No. 13
{"formula": "Ca3Pm12N5", "functional": "PBE-GGA", "state": "relaxed", "cell": [[-2.275, -12.201, -7.306], [10.883, -1.895, 9.240], [-11.916, 3.531, 7.277]], "species": ["Pm", "Pm", "Pm", "Pm", "Pm", "Pm", "Pm", "Pm", "Pm", "Pm", "Pm", "Pm", "Pm", "Pm", "Pm", "Pm", "Pm", "Pm", "Pm", "Pm", "Pm", "Pm", "Pm", "Pm", "Pm", "Pm", "Pm", "Pm", "Pm", "Pm", "Pm", "Pm", "Pm", "Pm", "Pm", "Pm", "Pm", "Pm", "Pm", "Pm", "Pm", "Pm", "Pm", "Pm", "Pm", "Pm", "Pm", "Pm", "N", "N", "N", "N", "N", "N", "N", "N", "N", "N", "N", "N", "N", "N", "N", "N", "N", "N", "N", "N", "Ca", "Ca", "Ca", "Ca", "Ca", "Ca", "Ca", "Ca", "Ca", "Ca", "Ca", "Ca"], "fractional_positions": [[0.504, 0.691, 0.100], [0.996, 0.595, 0.686], [0.496, 0.186, 0.095], [0.691, 0.504, 0.600], [0.095, 0.686, 0.496], [0.591, 0.905, 0.400], [0.095, 0.409, 0.100], [0.314, 0.409, 0.809], [0.900, 0.091, 0.905], [0.314, 0.905, 0.004], [0.091, 0.900, 0.405], [0.691, 0.186, 0.591], [0.100, 0.191, 0.504], [0.004, 0.405, 0.314], [0.686, 0.591, 0.191], [0.496, 0.309, 0.900], [0.591, 0.686, 0.691], [0.809, 0.909, 0.314], [0.191, 0.100, 0.004], [0.600, 0.004, 0.691], [0.405, 0.400, 0.091], [0.191, 0.091, 0.686], [0.905, 0.314, 0.504], [0.186, 0.691, 0.091], [0.909, 0.809, 0.814], [0.686, 0.095, 0.996], [0.400, 0.405, 0.591], [0.905, 0.591, 0.900], [0.809, 0.900, 0.996], [0.309, 0.814, 0.409], [0.600, 0.595, 0.409], [0.409, 0.095, 0.600], [0.814, 0.504, 0.405], [0.900, 0.809, 0.496], [0.996, 0.400, 0.809], [0.409, 0.314, 0.309], [0.309, 0.496, 0.400], [0.186, 0.496, 0.595], [0.100, 0.909, 0.095], [0.504, 0.814, 0.905], [0.405, 0.004, 0.814], [0.909, 0.100, 0.595], [0.400, 0.996, 0.309], [0.004, 0.600, 0.191], [0.091, 0.191, 0.186], [0.595, 0.996, 0.186], [0.595, 0.600, 0.909], [0.814, 0.309, 0.909], [0.500, 0.000, 0.000], [0.750, 0.125, 0.875], [0.750, 0.625, 0.375], [0.500, 0.000, 0.500], [0.125, 0.750, 0.375], [0.875, 0.250, 0.625], [0.000, 0.000, 0.000], [0.250, 0.375, 0.625], [0.125, 0.375, 0.250], [0.625, 0.750, 0.875], [0.500, 0.500, 0.000], [0.000, 0.500, 0.500], [0.500, 0.500, 0.500], [0.000, 0.500, 0.000], [0.875, 0.625, 0.750], [0.375, 0.125, 0.750], [0.000, 0.000, 0.500], [0.250, 0.875, 0.125], [0.625, 0.875, 0.250], [0.375, 0.250, 0.125], [0.750, 0.375, 0.125], [0.250, 0.625, 0.875], [0.250, 0.125, 0.375], [0.375, 0.625, 0.250], [0.125, 0.250, 0.875], [0.875, 0.750, 0.125], [0.125, 0.875, 0.750], [0.625, 0.250, 0.375], [0.375, 0.750, 0.625], [0.875, 0.125, 0.250], [0.750, 0.875, 0.625], [0.625, 0.375, 0.750]], "formation_energy_uncorrected_ev_per_atom": -0.40, "sg": "No. 230"}


No. 14
{"formula": "La2TbTm3", "functional": "PBE-GGA", "state": "relaxed", "cell": [[-2.030, 5.609, 1.724], [-5.416, 0.086, -3.028], [0.245, -10.295, 7.830]], "species": ["Tm", "Tm", "Tm", "Tm", "Tm", "Tm", "La", "La", "La", "La", "Tb", "Tb"], "fractional_positions": [[0.081, 0.959, 0.209], [0.580, 0.209, 0.960], [0.919, 0.041, 0.791], [0.581, 0.711, 0.460], [0.419, 0.289, 0.540], [0.420, 0.791, 0.040], [0.249, 0.375, 0.124], [0.251, 0.875, 0.626], [0.749, 0.125, 0.374], [0.751, 0.625, 0.876], [0.080, 0.460, 0.710], [0.920, 0.540, 0.290]], "ef_ev_per_atom": 0.0321, "sg": "No. 2", "de_polymorph_ev_per_atom": 0.000}


No. 15
{"formula": "Ca2TmGe3Au12", "functional": "PBE-GGA", "state": "relaxed", "cell": [[7.863, -0.743, -0.527], [3.237, 7.204, -0.527], [3.237, 1.884, 6.973]], "species": ["Au", "Au", "Au", "Au", "Au", "Au", "Au", "Au", "Au", "Au", "Au", "Au", "Tm", "Ca", "Ca", "Ge", "Ge", "Ge"], "fractional_positions": [[0.843, 0.378, 0.843], [0.378, 0.843, 0.843], [0.622, 0.157, 0.157], [0.157, 0.622, 0.157], [0.833, 0.308, 0.308], [0.308, 0.308, 0.833], [0.167, 0.692, 0.692], [0.157, 0.157, 0.622], [0.692, 0.167, 0.692], [0.308, 0.833, 0.308], [0.843, 0.843, 0.378], [0.692, 0.692, 0.167], [0.000, 0.000, 0.000], [0.403, 0.403, 0.403], [0.597, 0.597, 0.597], [0.500, 0.000, 0.000], [0.000, 0.500, 0.000], [0.000, 0.000, 0.500]], "ef_ev_per_atom": -0.1545, "sg": "No. 166"}


No. 16
{"formula": "ScCo3Os", "functional": "PBE-GGA", "state": "relaxed", "cell": [[-1.955, -3.098, -2.145], [2.372, 0.865, -3.412], [2.927, -2.770, 1.333]], "species": ["Co", "Co", "Co", "Os", "Sc"], "fractional_positions": [[0.000, 0.000, 0.500], [0.000, 0.500, 0.000], [0.500, 0.000, 0.000], [0.500, 0.500, 0.500], [0.000, 0.000, 0.000]], "ef_ev_per_atom": 1.6118, "sg": "No. 221"}


No. 17
{"formula": "LiCaThN2", "functional": "PBE-GGA", "state": "relaxed", "cell": [[3.738, 0.000, 0.000], [-1.869, 3.238, 0.000], [0.000, 0.000, 6.546]], "species": ["Li", "Th", "N", "N", "Ca"], "fractional_positions": [[0.333, 0.667, 0.715], [0.667, 0.333, 0.387], [0.333, 0.667, 0.205], [0.667, 0.333, 0.739], [0.000, 0.000, 0.953]], "formation_energy_uncorrected_ev_per_atom": -0.84, "sg": "No. 156"}


No. 18
{"formula": "BaSr3Pd", "functional": "PBE-GGA", "state": "relaxed", "cell": [[6.197, 0.000, 4.984], [0.000, 10.089, 0.000], [0.417, 0.000, 7.932]], "species": ["Pd", "Pd", "Sr", "Sr", "Sr", "Sr", "Sr", "Sr", "Ba", "Ba"], "fractional_positions": [[0.556, 0.250, 0.055], [0.444, 0.750, 0.945], [0.378, 0.054, 0.882], [0.772, 0.250, 0.276], [0.622, 0.946, 0.118], [0.622, 0.554, 0.118], [0.228, 0.750, 0.724], [0.378, 0.446, 0.882], [0.921, 0.750, 0.422], [0.079, 0.250, 0.578]], "ef_ev_per_atom": -0.2306, "sg": "No. 11", "de_polymorph_ev_per_atom": 0.068}


No. 19
{"formula": "Sc3Tl2Ag", "functional": "PBE-GGA", "state": "relaxed", "cell": [[3.418, 0.000, 0.000], [0.000, 3.418, 0.000], [0.000, 0.000, 11.457]], "species": ["Ag", "Sc", "Sc", "Sc", "Tl", "Tl"], "fractional_positions": [[0.500, 0.500, 0.500], [0.000, 0.000, 0.350], [0.000, 0.000, 0.650], [0.000, 0.000, 0.000], [0.500, 0.500, 0.823], [0.500, 0.500, 0.177]], "ef_ev_per_atom": -0.2764, "sg": "No. 123"}


No. 20
{"formula": "Hf4FeAu", "functional": "PBE-GGA", "state": "relaxed", "cell": [[-3.089, 0.672, 4.691], [3.805, -4.119, 3.096], [3.978, 5.505, 2.436]], "species": ["Hf", "Hf", "Hf", "Hf", "Hf", "Hf", "Hf", "Hf", "Fe", "Fe", "Au", "Au"], "fractional_positions": [[0.901, 0.148, 0.364], [0.099, 0.852, 0.636], [0.599, 0.648, 0.636], [0.401, 0.352, 0.364], [0.342, 0.841, 0.233], [0.158, 0.341, 0.767], [0.842, 0.659, 0.233], [0.658, 0.159, 0.767], [0.000, 0.500, 0.500], [0.500, 0.000, 0.500], [0.000, 0.000, 0.000], [0.500, 0.500, 0.000]], "ef_ev_per_atom": -0.0073, "sg": "No. 14"}


Number 1: mass density 5.21 g/cm3. Number 2: mass density 14.75 g/cm3. Number 3: mass density 10.06 g/cm3. Number 4: mass density 7.43 g/cm3. Number 5: mass density 7.95 g/cm3. Number 6: mass density 8.36 g/cm3. Number 7: mass density 4.41 g/cm3. Number 8: mass density 6.56 g/cm3. Number 9: mass density 5.00 g/cm3. Number 10: mass density 14.54 g/cm3. Number 11: mass density 12.45 g/cm3. Number 12: mass density 4.19 g/cm3. Number 13: mass density 5.58 g/cm3. Number 14: mass density 8.00 g/cm3. Number 15: mass density 10.93 g/cm3. Number 16: mass density 8.95 g/cm3. Number 17: mass density 6.44 g/cm3. Number 18: mass density 3.54 g/cm3. Number 19: mass density 8.08 g/cm3. Number 20: mass density 12.31 g/cm3.